{"formula": "Al3Si5", "functional": "PBE-GGA", "state": "optimized geometry", "cell": [[7.600, 0.000, 0.000], [-3.800, 6.581, 0.000], [0.000, 0.000, 5.155]], "species": ["Al", "Al", "Al", "Al", "Al", "Al", "Si", "Si", "Si", "Si", "Si", "Si", "Si", "Si", "Si", "Si"], "fractional_positions": [[0.000, 0.414, 0.250], [0.000, 0.586, 0.750], [0.414, 0.000, 0.250], [0.414, 0.414, 0.750], [0.586, 0.000, 0.750], [0.586, 0.586, 0.250], [0.000, 0.192, 0.750], [0.000, 0.808, 0.250], [0.192, 0.000, 0.750], [0.192, 0.192, 0.250], [0.333, 0.667, 0.000], [0.333, 0.667, 0.500], [0.667, 0.333, 0.000], [0.667, 0.333, 0.500], [0.808, 0.000, 0.250], [0.808, 0.808, 0.750]], "raw_formation_energy_kj_per_mol_fu": 230, "total_magnetization_mub_per_fu": 0.000, "de_polymorph_mev_per_atom": 31.2}


{"formula": "Al3Si4", "functional": "PBE-GGA", "state": "optimized geometry", "cell": [[3.380, 0.000, 0.000], [0.000, 3.380, 0.000], [0.000, 0.000, 18.911]], "species": ["Al", "Al", "Al", "Al", "Al", "Al", "Si", "Si", "Si", "Si", "Si", "Si", "Si", "Si"], "fractional_positions": [[0.000, 0.000, 0.000], [0.000, 0.000, 0.289], [0.000, 0.000, 0.711], [0.500, 0.500, 0.211], [0.500, 0.500, 0.500], [0.500, 0.500, 0.789], [0.000, 0.000, 0.140], [0.000, 0.000, 0.427], [0.000, 0.000, 0.573], [0.000, 0.000, 0.860], [0.500, 0.500, 0.073], [0.500, 0.500, 0.360], [0.500, 0.500, 0.640], [0.500, 0.500, 0.927]], "raw_formation_energy_kj_per_mol_fu": 176, "total_magnetization_mub_per_fu": 0.000}


{"formula": "Al3Si2", "functional": "PBE-GGA", "state": "optimized geometry", "cell": [[3.246, 1.874, 5.124], [-3.246, 1.874, 5.124], [0.000, -3.748, 5.124]], "species": ["Al", "Al", "Al", "Al", "Al", "Al", "Si", "Si", "Si", "Si"], "fractional_positions": [[0.005, 0.750, 0.495], [0.250, 0.505, 0.995], [0.495, 0.005, 0.750], [0.505, 0.995, 0.250], [0.750, 0.495, 0.005], [0.995, 0.250, 0.505], [0.117, 0.117, 0.117], [0.383, 0.383, 0.383], [0.617, 0.617, 0.617], [0.883, 0.883, 0.883]], "raw_formation_energy_kj_per_mol_fu": 82, "total_magnetization_mub_per_fu": 0.000}


{"formula": "AlSi2", "functional": "PBE-GGA", "state": "optimized geometry", "cell": [[3.546, 0.000, 0.000], [0.000, 6.401, 0.000], [0.000, 0.000, 4.730]], "species": ["Al", "Al", "Si", "Si", "Si", "Si"], "fractional_positions": [[0.000, 0.000, 0.000], [0.500, 0.500, 0.500], [0.243, 0.376, 0.000], [0.257, 0.876, 0.500], [0.743, 0.124, 0.500], [0.757, 0.624, 0.000]], "raw_formation_energy_kj_per_mol_fu": 107, "total_magnetization_mub_per_fu": 0.000}


{"formula": "Al3Si23", "functional": "PBE-GGA", "state": "optimized geometry", "cell": [[10.167, 0.000, 0.000], [0.000, 10.167, 0.000], [0.000, 0.000, 10.167]], "species": ["Al", "Al", "Al", "Al", "Al", "Al", "Si", "Si", "Si", "Si", "Si", "Si", "Si", "Si", "Si", "Si", "Si", "Si", "Si", "Si", "Si", "Si", "Si", "Si", "Si", "Si", "Si", "Si", "Si", "Si", "Si", "Si", "Si", "Si", "Si", "Si", "Si", "Si", "Si", "Si", "Si", "Si", "Si", "Si", "Si", "Si", "Si", "Si", "Si", "Si", "Si", "Si"], "fractional_positions": [[0.000, 0.250, 0.500], [0.000, 0.750, 0.500], [0.250, 0.500, 0.000], [0.500, 0.000, 0.250], [0.500, 0.000, 0.750], [0.750, 0.500, 0.000], [0.000, 0.309, 0.117], [0.000, 0.309, 0.883], [0.000, 0.500, 0.250], [0.000, 0.500, 0.750], [0.000, 0.691, 0.117], [0.000, 0.691, 0.883], [0.117, 0.000, 0.309], [0.117, 0.000, 0.691], [0.184, 0.184, 0.184], [0.184, 0.184, 0.816], [0.184, 0.816, 0.184], [0.184, 0.816, 0.816], [0.191, 0.500, 0.383], [0.191, 0.500, 0.617], [0.250, 0.000, 0.500], [0.309, 0.117, 0.000], [0.309, 0.883, 0.000], [0.316, 0.316, 0.316], [0.316, 0.316, 0.684], [0.316, 0.684, 0.316], [0.316, 0.684, 0.684], [0.383, 0.191, 0.500], [0.383, 0.809, 0.500], [0.500, 0.250, 0.000], [0.500, 0.383, 0.191], [0.500, 0.383, 0.809], [0.500, 0.617, 0.191], [0.500, 0.617, 0.809], [0.500, 0.750, 0.000], [0.617, 0.191, 0.500], [0.617, 0.809, 0.500], [0.684, 0.316, 0.316], [0.684, 0.316, 0.684], [0.684, 0.684, 0.316], [0.684, 0.684, 0.684], [0.691, 0.117, 0.000], [0.691, 0.883, 0.000], [0.750, 0.000, 0.500], [0.809, 0.500, 0.383], [0.809, 0.500, 0.617], [0.816, 0.184, 0.184], [0.816, 0.184, 0.816], [0.816, 0.816, 0.184], [0.816, 0.816, 0.816], [0.883, 0.000, 0.309], [0.883, 0.000, 0.691]], "raw_formation_energy_kj_per_mol_fu": 506, "total_magnetization_mub_per_fu": 0.000}


{"formula": "AlSi3", "functional": "PBE-GGA", "state": "optimized geometry", "cell": [[6.236, 0.000, 0.000], [0.000, 6.236, 0.000], [0.000, 0.000, 6.236]], "species": ["Al", "Al", "Al", "Al", "Si", "Si", "Si", "Si", "Si", "Si", "Si", "Si", "Si", "Si", "Si", "Si"], "fractional_positions": [[0.000, 0.000, 0.000], [0.000, 0.500, 0.500], [0.500, 0.000, 0.500], [0.500, 0.500, 0.000], [0.000, 0.000, 0.500], [0.000, 0.500, 0.000], [0.250, 0.250, 0.250], [0.250, 0.250, 0.750], [0.250, 0.750, 0.250], [0.250, 0.750, 0.750], [0.500, 0.000, 0.000], [0.500, 0.500, 0.500], [0.750, 0.250, 0.250], [0.750, 0.250, 0.750], [0.750, 0.750, 0.250], [0.750, 0.750, 0.750]], "raw_formation_energy_kj_per_mol_fu": 171, "total_magnetization_mub_per_fu": 0.000, "de_polymorph_mev_per_atom": 189.3}


{"formula": "Al3Si5", "functional": "PBE-GGA", "state": "optimized geometry", "cell": [[7.295, 0.000, 0.000], [0.000, 7.860, 0.000], [0.000, 0.000, 4.224]], "species": ["Al", "Al", "Al", "Al", "Al", "Al", "Si", "Si", "Si", "Si", "Si", "Si", "Si", "Si", "Si", "Si"], "fractional_positions": [[0.000, 0.000, 0.000], [0.000, 0.255, 0.500], [0.000, 0.745, 0.500], [0.500, 0.245, 0.500], [0.500, 0.500, 0.000], [0.500, 0.755, 0.500], [0.000, 0.500, 0.000], [0.247, 0.000, 0.500], [0.250, 0.250, 0.000], [0.250, 0.750, 0.000], [0.253, 0.500, 0.500], [0.500, 0.000, 0.000], [0.747, 0.500, 0.500], [0.750, 0.250, 0.000], [0.750, 0.750, 0.000], [0.753, 0.000, 0.500]], "raw_formation_energy_kj_per_mol_fu": 229, "total_magnetization_mub_per_fu": 0.000, "de_polymorph_mev_per_atom": 29.6}


{"formula": "AlSi2", "functional": "PBE-GGA", "state": "optimized geometry", "cell": [[2.712, 0.000, 0.000], [0.000, 13.930, 0.000], [0.000, 0.000, 5.157]], "species": ["Al", "Al", "Al", "Al", "Si", "Si", "Si", "Si", "Si", "Si", "Si", "Si"], "fractional_positions": [[0.000, 0.170, 0.250], [0.000, 0.830, 0.750], [0.500, 0.330, 0.750], [0.500, 0.670, 0.250], [0.000, 0.158, 0.750], [0.000, 0.497, 0.250], [0.000, 0.503, 0.750], [0.000, 0.842, 0.250], [0.500, 0.003, 0.750], [0.500, 0.342, 0.250], [0.500, 0.658, 0.750], [0.500, 0.997, 0.250]], "raw_formation_energy_kj_per_mol_fu": 67, "total_magnetization_mub_per_fu": 0.000}


{"formula": "AlSi", "functional": "PBE-GGA", "state": "optimized geometry", "cell": [[5.259, 0.000, 0.000], [0.000, 6.609, 0.000], [-1.776, 0.000, 4.787]], "species": ["Al", "Al", "Al", "Al", "Si", "Si", "Si", "Si"], "fractional_positions": [[0.000, 0.000, 0.000], [0.000, 0.454, 0.500], [0.500, 0.500, 0.000], [0.500, 0.954, 0.500], [0.205, 0.663, 0.221], [0.295, 0.163, 0.779], [0.705, 0.163, 0.221], [0.795, 0.663, 0.779]], "raw_formation_energy_kj_per_mol_fu": 31, "total_magnetization_mub_per_fu": 0.000}


{"formula": "AlSi3", "functional": "PBE-GGA", "state": "optimized geometry", "cell": [[2.760, 0.000, 0.000], [0.000, 4.539, 0.000], [0.000, 0.000, 10.160]], "species": ["Al", "Al", "Si", "Si", "Si", "Si", "Si", "Si"], "fractional_positions": [[0.000, 0.000, 0.000], [0.500, 0.500, 0.500], [0.000, 0.000, 0.259], [0.000, 0.000, 0.500], [0.000, 0.000, 0.741], [0.500, 0.500, 0.000], [0.500, 0.500, 0.241], [0.500, 0.500, 0.759]], "raw_formation_energy_kj_per_mol_fu": 98, "total_magnetization_mub_per_fu": 0.000, "de_polymorph_mev_per_atom": 0.0}


{"formula": "AlSi2", "functional": "PBE-GGA", "state": "optimized geometry", "cell": [[4.436, 0.000, 0.000], [-2.218, 3.841, 0.000], [0.000, 0.000, 5.522]], "species": ["Al", "Al", "Si", "Si", "Si", "Si"], "fractional_positions": [[0.333, 0.667, 0.250], [0.667, 0.333, 0.750], [0.000, 0.000, 0.000], [0.000, 0.000, 0.500], [0.333, 0.667, 0.750], [0.667, 0.333, 0.250]], "raw_formation_energy_kj_per_mol_fu": 109, "total_magnetization_mub_per_fu": 0.000}


{"formula": "Al3Si", "functional": "PBE-GGA", "state": "optimized geometry", "cell": [[2.872, 0.000, 0.000], [-1.436, 2.487, 0.000], [0.000, 0.000, 26.649]], "species": ["Al", "Al", "Al", "Al", "Al", "Al", "Al", "Al", "Al", "Si", "Si", "Si"], "fractional_positions": [[0.000, 0.000, 0.000], [0.000, 0.000, 0.247], [0.000, 0.000, 0.753], [0.333, 0.667, 0.420], [0.333, 0.667, 0.667], [0.333, 0.667, 0.913], [0.667, 0.333, 0.087], [0.667, 0.333, 0.333], [0.667, 0.333, 0.580], [0.000, 0.000, 0.500], [0.333, 0.667, 0.167], [0.667, 0.333, 0.833]], "raw_formation_energy_kj_per_mol_fu": 56, "total_magnetization_mub_per_fu": 0.000}


{"formula": "Al5Si3", "functional": "PBE-GGA", "state": "optimized geometry", "cell": [[2.523, -7.109, 0.000], [2.523, 7.109, 0.000], [-2.158, 0.000, 7.132]], "species": ["Al", "Al", "Al", "Al", "Al", "Al", "Al", "Al", "Al", "Al", "Si", "Si", "Si", "Si", "Si", "Si"], "fractional_positions": [[0.065, 0.714, 0.805], [0.223, 0.420, 0.647], [0.238, 0.238, 0.974], [0.286, 0.935, 0.195], [0.420, 0.223, 0.647], [0.580, 0.777, 0.353], [0.714, 0.065, 0.805], [0.762, 0.762, 0.026], [0.777, 0.580, 0.353], [0.935, 0.286, 0.195], [0.184, 0.184, 0.324], [0.248, 0.752, 0.500], [0.338, 0.662, 0.000], [0.662, 0.338, 0.000], [0.752, 0.248, 0.500], [0.816, 0.816, 0.676]], "raw_formation_energy_kj_per_mol_fu": 96, "total_magnetization_mub_per_fu": 0.000, "de_polymorph_mev_per_atom": 0.0}


{"formula": "AlSi3", "functional": "PBE-GGA", "state": "optimized geometry", "cell": [[8.517, 0.000, 0.000], [0.000, 3.350, 0.000], [-1.193, 0.000, 4.201]], "species": ["Al", "Al", "Si", "Si", "Si", "Si", "Si", "Si"], "fractional_positions": [[0.000, 0.000, 0.000], [0.500, 0.500, 0.000], [0.000, 0.500, 0.500], [0.241, 0.000, 0.732], [0.259, 0.500, 0.268], [0.500, 0.000, 0.500], [0.741, 0.500, 0.732], [0.759, 0.000, 0.268]], "raw_formation_energy_kj_per_mol_fu": 124, "total_magnetization_mub_per_fu": 0.000, "de_polymorph_mev_per_atom": 66.4}


{"formula": "Al6Si", "functional": "PBE-GGA", "state": "optimized geometry", "cell": [[7.256, 0.000, 0.000], [0.000, 7.256, 0.000], [0.000, 0.000, 7.256]], "species": ["Al", "Al", "Al", "Al", "Al", "Al", "Al", "Al", "Al", "Al", "Al", "Al", "Si", "Si"], "fractional_positions": [[0.000, 0.250, 0.500], [0.000, 0.500, 0.250], [0.000, 0.500, 0.750], [0.000, 0.750, 0.500], [0.250, 0.000, 0.500], [0.250, 0.500, 0.000], [0.500, 0.000, 0.250], [0.500, 0.000, 0.750], [0.500, 0.250, 0.000], [0.500, 0.750, 0.000], [0.750, 0.000, 0.500], [0.750, 0.500, 0.000], [0.000, 0.000, 0.000], [0.500, 0.500, 0.500]], "raw_formation_energy_kj_per_mol_fu": 690, "total_magnetization_mub_per_fu": 0.000}


{"formula": "AlSi", "functional": "PBE-GGA", "state": "optimized geometry", "cell": [[4.177, 0.000, 0.000], [2.045, 3.695, 0.000], [1.918, 1.287, 5.258]], "species": ["Al", "Al", "Si", "Si"], "fractional_positions": [[0.000, 0.000, 0.000], [0.171, 0.897, 0.499], [0.323, 0.318, 0.073], [0.470, 0.207, 0.630]], "raw_formation_energy_kj_per_mol_fu": 30, "total_magnetization_mub_per_fu": 0.000}


{"formula": "Al3Si", "functional": "PBE-GGA", "state": "optimized geometry", "cell": [[5.727, 0.000, 0.000], [0.000, 7.731, 0.000], [0.000, 0.000, 2.865]], "species": ["Al", "Al", "Al", "Al", "Al", "Al", "Si", "Si"], "fractional_positions": [[0.000, 0.000, 0.000], [0.250, 0.250, 0.500], [0.250, 0.750, 0.500], [0.500, 0.500, 0.000], [0.750, 0.250, 0.500], [0.750, 0.750, 0.500], [0.000, 0.500, 0.000], [0.500, 0.000, 0.000]], "raw_formation_energy_kj_per_mol_fu": 46, "total_magnetization_mub_per_fu": 0.000}


{"formula": "AlSi2", "functional": "PBE-GGA", "state": "optimized geometry", "cell": [[3.538, 0.000, 0.000], [0.000, 15.886, 0.000], [0.000, 0.000, 3.529]], "species": ["Al", "Al", "Al", "Al", "Si", "Si", "Si", "Si", "Si", "Si", "Si", "Si"], "fractional_positions": [[0.000, 0.116, 0.250], [0.000, 0.884, 0.750], [0.500, 0.384, 0.750], [0.500, 0.616, 0.250], [0.000, 0.260, 0.750], [0.000, 0.448, 0.250], [0.000, 0.552, 0.750], [0.000, 0.740, 0.250], [0.500, 0.052, 0.750], [0.500, 0.240, 0.250], [0.500, 0.760, 0.750], [0.500, 0.948, 0.250]], "raw_formation_energy_kj_per_mol_fu": 86, "total_magnetization_mub_per_fu": 0.000}


{"formula": "Al4Si", "functional": "PBE-GGA", "state": "optimized geometry", "cell": [[5.814, 0.000, 0.000], [0.000, 5.814, 0.000], [0.000, 0.000, 5.814]], "species": ["Al", "Al", "Al", "Al", "Al", "Al", "Al", "Al", "Si", "Si"], "fractional_positions": [[0.250, 0.250, 0.250], [0.250, 0.250, 0.750], [0.250, 0.750, 0.250], [0.250, 0.750, 0.750], [0.750, 0.250, 0.250], [0.750, 0.250, 0.750], [0.750, 0.750, 0.250], [0.750, 0.750, 0.750], [0.000, 0.000, 0.000], [0.500, 0.500, 0.500]], "raw_formation_energy_kj_per_mol_fu": 170, "total_magnetization_mub_per_fu": 0.000, "de_polymorph_mev_per_atom": 275.7}


{"formula": "AlSi", "functional": "PBE-GGA", "state": "optimized geometry", "cell": [[4.847, 0.000, 0.000], [0.000, 6.868, 0.000], [-1.416, 0.000, 4.613]], "species": ["Al", "Al", "Al", "Al", "Si", "Si", "Si", "Si"], "fractional_positions": [[0.230, 0.000, 0.276], [0.270, 0.500, 0.724], [0.730, 0.500, 0.276], [0.770, 0.000, 0.724], [0.217, 0.358, 0.215], [0.283, 0.858, 0.785], [0.717, 0.858, 0.215], [0.783, 0.358, 0.785]], "raw_formation_energy_kj_per_mol_fu": 31, "total_magnetization_mub_per_fu": 0.000}